Record 1
An optimized crystal structure of CsTa3N. Source: Alexandria, functional PBE.

Properties
- uncorrected formation energy (eV per atom) = 4.313
- energy above the lowest structure with this stoichiometry (kJ per mole of atoms) = 316.5
- size of the total moment (μB per formula unit) = 0.0
- calculated total energy (eV per atom) = -4.63
- space group = Pm-3m
- crystal system = cubic
- DOS at the Fermi energy (states/eV per cell) = 3.70

CIF file:
```
data_CsTa3N
_symmetry_space_group_name_H-M 'P 1'
_symmetry_Int_Tables_number 1
_symmetry_space_group_name_Hall 'P 1'
_cell_length_a 4.998
_cell_length_b 4.998
_cell_length_c 4.998
_cell_angle_alpha 90.00
_cell_angle_beta 90.00
_cell_angle_gamma 90.00
loop_
_atom_site_label
_atom_site_fract_x
_atom_site_fract_y
_atom_site_fract_z
_atom_site_occupancy
Cs1 0.000 0.000 0.000 1
Ta1 0.000 0.000 0.500 1
Ta2 0.000 0.500 0.000 1
Ta3 0.500 0.000 0.000 1
N1 0.500 0.500 0.500 1
```

---

Record 2
An optimized crystal structure of HfTeAu3. Source: Alexandria, functional PBE.

Properties
- uncorrected formation energy (eV per atom) = 0.924
- energy above the lowest structure with this stoichiometry (kJ per mole of atoms) = 25.7
- size of the total moment (μB per formula unit) = 0.8
- calculated total energy (eV per atom) = -3.66
- space group = Pm-3m
- crystal system = cubic
- DOS at the Fermi energy (states/eV per cell) = 4.64

CIF file:
```
data_HfTeAu3
_symmetry_space_group_name_H-M 'P 1'
_symmetry_Int_Tables_number 1
_symmetry_space_group_name_Hall 'P 1'
_cell_length_a 5.145
_cell_length_b 5.145
_cell_length_c 5.145
_cell_angle_alpha 90.00
_cell_angle_beta 90.00
_cell_angle_gamma 90.00
loop_
_atom_site_label
_atom_site_fract_x
_atom_site_fract_y
_atom_site_fract_z
_atom_site_occupancy
Hf1 0.000 0.000 0.000 1
Te1 0.500 0.500 0.500 1
Au1 0.000 0.500 0.500 1
Au2 0.500 0.000 0.500 1
Au3 0.500 0.500 0.000 1
```

---

Record 3
An optimized crystal structure of SrHg2Rh. Source: Alexandria, functional PBE.

Properties
- size of the total moment (μB per formula unit) = 0.4
- calculated total energy (eV per atom) = -2.53
- space group = P4/mmm
- crystal system = tetragonal
- DOS at the Fermi energy (states/eV per cell) = 3.36

CIF file:
```
data_SrHg2Rh
_symmetry_space_group_name_H-M 'P 1'
_symmetry_Int_Tables_number 1
_symmetry_space_group_name_Hall 'P 1'
_cell_length_a 3.657
_cell_length_b 3.657
_cell_length_c 6.981
_cell_angle_alpha 90.00
_cell_angle_beta 90.00
_cell_angle_gamma 90.00
loop_
_atom_site_label
_atom_site_fract_x
_atom_site_fract_y
_atom_site_fract_z
_atom_site_occupancy
Sr1 0.000 0.000 0.000 1
Hg1 0.500 0.500 0.294 1
Hg2 0.500 0.500 0.706 1
Rh1 0.000 0.000 0.500 1
```